Entry 1:
The following is a DFT calculation (PBE) of an optimized crystal structure of Rb2PmTe2O6.

Cell lengths 6.237, 6.237, 8.629 Å; angles 106.68, 106.68, 60.99 degrees
Positions (direct):
Rb1 0.214 0.214 0.169
Rb2 0.786 0.786 0.831
Pm1 0.500 0.500 0.000
Te1 0.089 0.089 0.723
Te2 0.911 0.911 0.277
O1 0.181 0.715 0.157
O2 0.275 0.275 0.842
O3 0.285 0.819 0.843
O4 0.715 0.181 0.157
O5 0.725 0.725 0.158
O6 0.819 0.285 0.843

Summary:
E_form (uncorrected)   -1693 meV/atom

Entry 2:
The following is a DFT calculation (PBE) of an optimized crystal structure of PmHgAs2.

Cell lengths 4.755, 4.755, 3.982 Å; angles 90.00, 90.00, 90.00 degrees
Positions (direct):
Pm1 0.000 0.000 0.000
Hg1 0.500 0.500 0.000
As1 0.000 0.500 0.500
As2 0.500 0.000 0.500

Summary:
Formation energy from the elements   -561 meV/atom
Offset from the most stable computed form   0.000 eV/atom

Entry 3:
The following is a DFT calculation (PBE) of an optimized crystal structure of SrIn2F4.

Cell lengths 4.824, 4.824, 13.574 Å; angles 90.00, 90.00, 90.00 degrees
Positions (direct):
Sr1 0.000 0.000 0.000
Sr2 0.500 0.500 0.500
In1 0.000 0.000 0.349
In2 0.000 0.000 0.651
In3 0.500 0.500 0.151
In4 0.500 0.500 0.849
F1 0.000 0.000 0.181
F2 0.000 0.000 0.819
F3 0.000 0.500 0.000
F4 0.000 0.500 0.500
F5 0.500 0.000 0.000
F6 0.500 0.000 0.500
F7 0.500 0.500 0.319
F8 0.500 0.500 0.681

Summary:
E_form (uncorrected)   -2510 meV/atom

Entry 4:
The following is a DFT calculation (PBE) of an optimized crystal structure of ZrTaCl2.

Cell lengths 3.255, 3.255, 29.436 Å; angles 90.00, 90.00, 120.00 degrees
Positions (direct):
Zr1 0.000 0.000 0.000
Zr2 0.333 0.667 0.667
Zr3 0.667 0.333 0.333
Ta1 0.000 0.000 0.249
Ta2 0.333 0.667 0.916
Ta3 0.667 0.333 0.582
Cl1 0.000 0.000 0.525
Cl2 0.000 0.000 0.728
Cl3 0.333 0.667 0.192
Cl4 0.333 0.667 0.395
Cl5 0.667 0.333 0.062
Cl6 0.667 0.333 0.858

Summary:
E_form (uncorrected)   -878 meV/atom
Offset from the most stable computed form   0.000 eV/atom